Computed, not measured: a relaxed YTl2Cl crystal at the PBE-GGA level of DFT.

Results
**M_tot**: 0.0 μB per cell
**Calculated density**: 7.58 Mg/m³
**Uncorrected energy**: -14.14 eV per cell

a b c (Å): 3.6845 3.6845 9.8386
angles (deg): 90.00 90.00 119.03
With the nearest neighbours (Å) after each atom.
Fractional positions:
Tl: 0.0000 0.0000 0.9850  2 Cl 2.97, 2 Y 3.21
Cl: 0.5000 0.5000 0.7500  4 Tl 2.97
Y: 0.5000 0.5000 0.2500  4 Tl 3.21
Tl: 0.0000 0.0000 0.5150  2 Cl 2.97, 2 Y 3.21